A plane-wave DFT calculation with PBE-GGA was carried out for Pr2In8Fe after structural relaxation.

- Space-group type: P4/mmm
- Total DFT energy (no corrections): -43.05 eV/cell

Lattice parameters (Å, degrees): 4.683 4.683 12.497 90.00 90.00 90.00
Last column: magnetic moment on the atom in μB.
Fractional coordinates of all 11 atoms:
Fe: 0.000 0.000 0.000  1.80
In: 0.500 0.000 0.117  -0.04
In: 0.000 0.500 0.117  -0.04
In: 0.500 0.500 0.307  -0.01
In: 0.500 0.000 0.500  0.00
In: 0.000 0.500 0.500  0.01
In: 0.500 0.500 0.693  -0.01
In: 0.500 0.000 0.883  -0.04
In: 0.000 0.500 0.883  -0.04
Pr: 0.000 0.000 0.306  -0.03
Pr: 0.000 0.000 0.694  -0.03